(1)
# CaCrPd

CaCrPd after structural relaxation (PBE-GGA, Alexandria via LeMat-Bulk).

```
data_CaCrPd
_symmetry_space_group_name_H-M 'P 1 21/m 1'
_symmetry_Int_Tables_number 11
_symmetry_space_group_name_Hall '-P 2yb'
_cell_length_a 3.0658
_cell_length_b 4.6852
_cell_length_c 8.2487
_cell_angle_alpha 90.00
_cell_angle_beta 100.39
_cell_angle_gamma 90.00
loop_
_atom_site_label
_atom_site_type_symbol
_atom_site_fract_x
_atom_site_fract_y
_atom_site_fract_z
Ca1 Ca 0.1760 0.2500 0.3550
Cr1 Cr 0.0000 0.0000 0.0000
Pd1 Pd 0.3841 0.2500 0.7635
```

* D(E_F): 0.9027 states/eV/atom
* energy above the lowest structure with this stoichiometry: 256 meV per atom
* spin magnetization: 2.02 μB per formula unit
* formation energy: 168 meV/atom

(2)
# PmY3P4

PmY3P4 after structural relaxation (PBE-GGA, Alexandria via LeMat-Bulk).

```
data_PmY3P4
_symmetry_space_group_name_H-M 'C m m m'
_symmetry_Int_Tables_number 65
_symmetry_space_group_name_Hall '-C 2 2'
_cell_length_a 8.0871
_cell_length_b 11.4365
_cell_length_c 4.0460
_cell_angle_alpha 90.00
_cell_angle_beta 90.00
_cell_angle_gamma 90.00
loop_
_atom_site_label
_atom_site_type_symbol
_atom_site_fract_x
_atom_site_fract_y
_atom_site_fract_z
Pm1 Pm 0.0000 0.0000 0.0000
Y1 Y 0.0000 0.5000 0.0000
Y2 Y 0.2500 0.2500 0.5000
P1 P 0.0000 0.2523 0.0000
P2 P 0.2453 0.5000 0.5000
```

* D(E_F): 0.1050 states/eV/atom
* spin magnetization: 0.00 μB per formula unit
* formation energy: -1608 meV/atom

(3)
# In3GaHg7

In3GaHg7 after structural relaxation (PBE-GGA, Alexandria via LeMat-Bulk).

```
data_In3GaHg7
_symmetry_space_group_name_H-M 'C 2 2 21'
_symmetry_Int_Tables_number 20
_symmetry_space_group_name_Hall 'C 2c 2'
_cell_length_a 9.5221
_cell_length_b 12.5984
_cell_length_c 10.0342
_cell_angle_alpha 90.00
_cell_angle_beta 90.00
_cell_angle_gamma 90.00
loop_
_atom_site_label
_atom_site_type_symbol
_atom_site_fract_x
_atom_site_fract_y
_atom_site_fract_z
In1 In 0.0055 0.0000 0.0000
In2 In 0.1768 0.3926 0.2490
Ga1 Ga 0.0047 0.5000 0.5000
Hg1 Hg 0.0000 0.1326 0.7500
Hg2 Hg 0.0000 0.1802 0.2500
Hg3 Hg 0.0000 0.3680 0.7500
Hg4 Hg 0.2470 0.3543 0.5578
Hg5 Hg 0.2488 0.3636 0.9388
```

* D(E_F): 0.3174 states/eV/atom
* energy above the lowest structure with this stoichiometry: 0 meV per atom
* spin magnetization: 0.00 μB per formula unit
* formation energy: 50 meV/atom

(4)
# BaCuP2

BaCuP2 after structural relaxation (PBE-GGA, Alexandria via LeMat-Bulk).

```
data_BaCuP2
_symmetry_space_group_name_H-M 'P 4/m m m'
_symmetry_Int_Tables_number 123
_symmetry_space_group_name_Hall '-P 4 2'
_cell_length_a 3.5604
_cell_length_b 3.5604
_cell_length_c 6.5342
_cell_angle_alpha 90.00
_cell_angle_beta 90.00
_cell_angle_gamma 90.00
loop_
_atom_site_label
_atom_site_type_symbol
_atom_site_fract_x
_atom_site_fract_y
_atom_site_fract_z
Ba1 Ba 0.0000 0.0000 0.0000
Cu1 Cu 0.0000 0.0000 0.5000
P1 P 0.5000 0.5000 0.3374
```

* D(E_F): 0.5861 states/eV/atom
* spin magnetization: 0.00 μB per formula unit
* formation energy: -112 meV/atom